VASP calculation (PBE) on a relaxed ZrTeBr2 crystal.

a b c (Å): 5.2813 5.2813 3.5189
angles (deg): 90.00 90.00 90.00
Closest atoms and distances in Å follow each position.
Sites, in units of the cell vectors:
1 Zr 0.0000 0.0000 0.0000  8 Br 3.17, 2 Zr 3.52
2 Te 0.5000 0.5000 0.0000  8 Br 3.17, 2 Te 3.52
3 Br 0.0000 0.5000 0.5000  4 Zr 3.17, 4 Te 3.17, 2 Br 3.52
4 Br 0.5000 0.0000 0.5000  4 Zr 3.17, 4 Te 3.17, 2 Br 3.52

**Uncorrected formation energy**: 0.13 eV/atom
**Space-group type**: P4/mmm
**Total magnetization**: 0.0 μB/cell
**Calculated volume**: 98 Å³/cell
**ρ**: 6.406 g cm⁻³
**Calculated total energy**: -14.524 eV per cell



VASP calculation (PBE) on a relaxed HoTm2ScIn2 crystal.

a b c (Å): 5.2487 9.0880 6.6161
angles (deg): 90.00 90.00 90.00
Closest atoms and distances in Å follow each position.
Sites, in units of the cell vectors:
1 Ho 0.0000 0.0005 0.0000  2 Ho 3.31, 6 In 3.40-3.43, 4 Sc 3.47, 2 Tm 3.47
2 Ho 0.0000 0.9995 0.5000  2 Ho 3.31, 6 In 3.40-3.43, 4 Sc 3.47, 2 Tm 3.47
3 Tm 0.0000 0.3358 0.2512  5 In 3.06-3.31
4 Tm 0.0000 0.6642 0.7512  5 In 3.06-3.31
5 Tm 0.5000 0.4993 0.0003  6 Tm 3.31-3.44, 2 Sc 3.42-3.43, 6 In 3.47-3.51
6 Tm 0.5000 0.5007 0.5003  6 Tm 3.31-3.44, 2 Sc 3.42-3.43, 6 In 3.47-3.51
7 Sc 0.5000 0.1699 0.7493  5 In 2.99-3.31
8 Sc 0.5000 0.8301 0.2493  5 In 2.99-3.31
9 In 0.0000 0.3271 0.7506  2 Sc 2.99, 3 Tm 3.06-3.31
10 In 0.0000 0.6729 0.2506  2 Sc 2.99, 3 Tm 3.06-3.31
11 In 0.5000 0.1597 0.2498  3 Sc 3.00-3.31, 2 Tm 3.07
12 In 0.5000 0.8403 0.7498  3 Sc 3.00-3.31, 2 Tm 3.07

**Space-group type**: Pmc2_1
**Total magnetization**: 0.0 μB/cell
**Calculated volume**: 316 Å³/cell
**Formation energy**: -0.353 eV per atom
**ρ**: 8.181 g cm⁻³
**Calculated total energy**: -54.890 eV per cell